Record 1
DFT (PBE) results for a relaxed LiIn2SnHg4 crystal.

CIF file:
```
data_LiIn2SnHg4
_chemical_formula_sum 'Li1 In2 Sn1 Hg4'
_cell_length_a 5.8530
_cell_length_b 3.5982
_cell_length_c 9.6334
_cell_angle_alpha 90.00
_cell_angle_beta 101.00
_cell_angle_gamma 90.00
_symmetry_space_group_name_H-M 'P 1 2/m 1'
_symmetry_Int_Tables_number 10
_symmetry_space_group_name_Hall '-P 2y'
loop_
_atom_site_label
_atom_site_type_symbol
_atom_site_fract_x
_atom_site_fract_y
_atom_site_fract_z
Li1 Li 0.0000 0.0000 0.0000
In1 In 0.0000 0.5000 0.5000
In2 In 0.5000 0.0000 0.5000
Sn1 Sn 0.5000 0.5000 0.0000
Hg1 Hg 0.2306 0.5000 0.2354
Hg2 Hg 0.2354 0.0000 0.7584
```

Properties
- V: 24.9 Å³ per atom
- DFT total energy: -13.13 eV per cell
- Energy relative to the elements: -0.067 eV/atom


Record 2
DFT (PBE) results for a relaxed Zr2AlC crystal.

CIF file:
```
data_Zr2AlC
_chemical_formula_sum 'Zr6 Al3 C3'
_cell_length_a 3.3275
_cell_length_b 3.3275
_cell_length_c 21.8637
_cell_angle_alpha 90.00
_cell_angle_beta 90.00
_cell_angle_gamma 120.00
_symmetry_space_group_name_H-M 'R -3 m'
_symmetry_Int_Tables_number 166
_symmetry_space_group_name_Hall '-R 3 2"'
loop_
_atom_site_label
_atom_site_type_symbol
_atom_site_fract_x
_atom_site_fract_y
_atom_site_fract_z
Zr1 Zr 0.0000 0.0000 0.2249
Al1 Al 0.0000 0.0000 0.0000
C1 C 0.0000 0.0000 0.5000
```

Properties
- E above lowest polymorph: 9 kJ/mol of formula units
- V: 17.5 Å³ per atom
- DFT total energy: -97.66 eV per cell
- Energy relative to the elements: -0.623 eV/atom